No. 1
Compound: InNiPb3
Source: Alexandria via LeMat-Bulk
Functional: PBE-GGA
Structure: optimized geometry

extended XYZ file:
```
5
Lattice="-5.222 2.031 1.166 -0.101 -3.044 4.846 2.340 4.401 2.813" Properties=species:S:1:pos:R:3 pbc="T T T"
Pb -0.051 -1.522 2.423
Pb 1.170 2.200 1.407
Pb -2.611 1.015 0.583
Ni -1.492 1.694 4.412
In 0.000 0.000 0.000
```

Results
- formation energy from the elements (meV per atom) = 1070
- energy above the most stable polymorph in this dataset (meV/atom) = 928
- magnetization (Bohr magnetons per cell) = 0.01

No. 2
Compound: InSiB
Source: Alexandria via LeMat-Bulk
Functional: PBE-GGA
Structure: optimized geometry

extended XYZ file:
```
3
Lattice="-1.726 2.552 1.574 -1.479 -1.745 -2.595 -1.853 -3.256 3.245" Properties=species:S:1:pos:R:3 pbc="T T T"
Si -0.927 -1.628 1.623
B -2.571 -0.508 1.807
In -1.644 1.120 0.184
```

Results
- E_form (uncorrected) (eV/atom) = 0.240
- energy above the most stable polymorph in this dataset (meV/atom) = 0
- magnetization (Bohr magnetons per cell) = 0.00

No. 3
Compound: Mn2AgRh
Source: Alexandria via LeMat-Bulk
Functional: PBE-GGA
Structure: optimized geometry

extended XYZ file:
```
4
Lattice="-3.899 -2.597 -1.673 -0.791 -4.257 2.450 0.728 4.731 1.355" Properties=species:S:1:pos:R:3 pbc="T T T"
Ag -2.758 -0.647 0.035
Mn 0.000 0.000 0.000
Mn -1.204 -1.476 2.097
Rh -2.345 -3.427 0.389
```

Results
- formation energy from the elements (meV per atom) = 184
- magnetization (Bohr magnetons per cell) = 8.34

No. 4
Compound: KZrOs
Source: Alexandria via LeMat-Bulk
Functional: PBE-GGA
Structure: optimized geometry

extended XYZ file:
```
3
Lattice="4.706 0.000 0.000 2.353 4.076 0.000 2.353 1.359 3.843" Properties=species:S:1:pos:R:3 pbc="T T T"
K 4.706 2.717 1.921
Os 7.060 4.076 2.882
Zr 0.000 0.000 0.000
```

Results
- formation energy from the elements (meV per atom) = 1146
- energy above the most stable polymorph in this dataset (meV/atom) = 714
- magnetization (Bohr magnetons per cell) = 0.00

No. 5
Compound: ZnReBr3
Source: Alexandria via LeMat-Bulk
Functional: PBE-GGA
Structure: optimized geometry

extended XYZ file:
```
5
Lattice="5.188 0.000 0.000 0.000 5.188 0.000 0.000 0.000 5.188" Properties=species:S:1:pos:R:3 pbc="T T T"
Re 0.000 0.000 0.000
Zn 2.594 2.594 2.594
Br 0.000 2.594 0.000
Br 0.000 0.000 2.594
Br 2.594 0.000 0.000
```

Results
- E_form (uncorrected) (eV/atom) = 0.439
- energy above the most stable polymorph in this dataset (meV/atom) = 0
- magnetization (Bohr magnetons per cell) = 2.97

No. 6
Compound: CaHoTe2
Source: Alexandria via LeMat-Bulk
Functional: PBE-GGA
Structure: optimized geometry

extended XYZ file:
```
4
Lattice="-2.788 -1.171 3.058 1.086 -3.030 2.853 2.284 4.025 6.647" Properties=species:S:1:pos:R:3 pbc="T T T"
Ca 0.320 -0.034 6.327
Ho 1.128 1.184 10.554
Te 1.601 2.725 5.527
Te 0.108 -0.116 3.078
```

Results
- E_form (uncorrected) (eV/atom) = -1.382
- energy above the most stable polymorph in this dataset (meV/atom) = 54
- magnetization (Bohr magnetons per cell) = 0.00

No. 7
Compound: PmSm6Dy4
Source: Alexandria via LeMat-Bulk
Functional: PBE-GGA
Structure: optimized geometry

extended XYZ file:
```
11
Lattice="7.575 0.000 0.000 0.000 7.575 0.000 -3.787 -3.787 6.736" Properties=species:S:1:pos:R:3 pbc="T T T"
Pm 3.787 3.787 0.000
Sm 5.542 2.033 2.525
Sm 2.033 5.542 2.525
Sm 1.754 1.754 4.211
Sm 0.000 3.787 0.000
Sm -1.754 -1.754 4.211
Sm 3.787 0.000 0.000
Dy -2.541 2.541 5.665
Dy 6.328 6.328 1.071
Dy 2.541 -2.541 5.665
Dy 1.247 1.247 1.071
```

Results
- formation energy from the elements (meV per atom) = 383
- energy above the most stable polymorph in this dataset (meV/atom) = 264
- magnetization (Bohr magnetons per cell) = 0.00

No. 8
Compound: LaErPb2O8
Source: Alexandria via LeMat-Bulk
Functional: PBE-GGA
Structure: optimized geometry

extended XYZ file:
```
12
Lattice="5.659 0.000 0.000 0.000 5.659 0.000 -2.829 -2.829 5.399" Properties=species:S:1:pos:R:3 pbc="T T T"
La 0.000 0.000 0.000
Er 2.829 0.000 2.699
Pb 2.829 2.829 0.000
Pb 0.000 2.829 2.699
O 3.926 4.300 1.098
O 1.732 1.359 1.098
O 1.421 1.608 3.708
O -1.421 -1.608 3.708
O 4.437 1.408 1.691
O 1.222 4.250 1.691
O -1.471 1.097 4.301
O 1.471 -1.097 4.301
```

Results
- E_form (uncorrected) (eV/atom) = -1.747
- magnetization (Bohr magnetons per cell) = 2.04

No. 9
Compound: PmPr3Tl4
Source: Alexandria via LeMat-Bulk
Functional: PBE-GGA
Structure: optimized geometry

extended XYZ file:
```
8
Lattice="3.919 0.000 0.000 0.000 3.919 0.000 0.000 0.000 15.696" Properties=species:S:1:pos:R:3 pbc="T T T"
Pr 1.960 1.960 3.889
Pr 1.960 1.960 7.848
Pr 1.960 1.960 11.808
Tl 0.000 0.000 13.798
Tl 0.000 0.000 1.898
Tl 0.000 0.000 5.867
Tl 0.000 0.000 9.829
Pm 1.960 1.960 0.000
```

Results
- formation energy from the elements (meV per atom) = -396
- energy above the most stable polymorph in this dataset (meV/atom) = 0
- magnetization (Bohr magnetons per cell) = 0.00

No. 10
Compound: Mg10Zn3Ga3
Source: Alexandria via LeMat-Bulk
Functional: PBE-GGA
Structure: optimized geometry

extended XYZ file:
```
16
Lattice="5.747 0.000 0.000 0.000 6.966 -4.022 0.000 0.000 8.044" Properties=species:S:1:pos:R:3 pbc="T T T"
Mg 1.435 4.644 0.000
Mg 1.435 2.322 4.022
Mg 4.312 2.322 4.022
Mg 4.312 4.644 0.000
Mg 2.874 0.000 6.126
Mg 2.874 5.305 -3.063
Mg 2.874 1.661 0.959
Mg 0.000 0.000 1.970
Mg 0.000 1.706 -0.985
Mg 0.000 5.261 3.037
Zn 2.874 0.000 3.218
Zn 2.874 2.787 -1.609
Zn 2.874 4.180 2.413
Ga 0.000 0.000 4.857
Ga 0.000 4.206 -2.428
Ga 0.000 2.760 1.594
```

Results
- formation energy from the elements (meV per atom) = -101
- magnetization (Bohr magnetons per cell) = 0.00

No. 11
Compound: AcB4Rh4
Source: Alexandria via LeMat-Bulk
Functional: PBE-GGA
Structure: optimized geometry

extended XYZ file:
```
18
Lattice="-3.196 4.205 -1.339 -2.694 -3.168 -3.521 -4.915 -1.973 5.536" Properties=species:S:1:pos:R:3 pbc="T T T"
Ac 0.000 0.000 0.000
Ac -5.402 -0.468 0.338
B -8.005 -2.209 1.081
B -6.206 -0.094 3.432
B -4.766 1.619 -2.027
B -2.633 -1.188 -1.133
B -2.770 0.720 1.471
B -3.832 2.118 1.026
B -4.111 -2.347 2.443
B -5.007 -3.400 1.273
Rh -6.377 -2.222 2.662
Rh -7.964 -0.134 1.998
Rh -4.303 -0.545 -2.527
Rh -2.965 1.028 -0.779
Rh -3.793 -3.091 -0.655
Rh -2.437 -1.497 1.117
Rh -3.941 -0.219 3.212
Rh -5.549 1.897 2.538
```

Results
- formation energy from the elements (meV per atom) = -461
- energy above the most stable polymorph in this dataset (meV/atom) = 80
- magnetization (Bohr magnetons per cell) = 0.00

No. 12
Compound: MgNb3Pd
Source: Alexandria via LeMat-Bulk
Functional: PBE-GGA
Structure: optimized geometry

extended XYZ file:
```
5
Lattice="4.897 0.000 0.000 0.000 4.897 0.000 0.000 0.000 4.897" Properties=species:S:1:pos:R:3 pbc="T T T"
Nb 0.000 2.449 0.000
Nb 0.000 0.000 2.449
Nb 2.449 0.000 0.000
Mg 2.449 2.449 2.449
Pd 0.000 0.000 0.000
```

Results
- formation energy from the elements (meV per atom) = 1151
- energy above the most stable polymorph in this dataset (meV/atom) = 0
- magnetization (Bohr magnetons per cell) = 0.00

Which value of magnetization does entry 3 give?
8.34 Bohr magnetons per cell

The highest magnetization belongs to which entry?
Mn2AgRh